(1)
# Zr2Se meta-GGA SCAN PBEsol geometry
# crystal system	tetragonal
# space group	No. 141
# E	-28.04	eV per atom
# V	125.35	Å³/cell
data_Zr2Se
_cell_length_a 5.7958
_cell_length_b 5.7958
_cell_length_c 5.7958
_cell_angle_alpha 125.15
_cell_angle_beta 125.15
_cell_angle_gamma 81.29
_space_group_name_H-M_alt 'P 1'
_space_group_IT_number 1
loop_
_space_group_symop_operation_xyz
'x,y,z'
loop_
_atom_site_label
_atom_site_type_symbol
_atom_site_fract_x
_atom_site_fract_y
_atom_site_fract_z
Zr1 Zr 0.0686 0.3186 0.7500
Zr2 Zr 0.3186 0.0686 0.2500
Zr3 Zr 0.6814 0.9314 0.7500
Zr4 Zr 0.9314 0.6814 0.2500
Se1 Se 0.3750 0.6250 0.7500
Se2 Se 0.6250 0.3750 0.2500

(2)
# Zr2Se meta-GGA SCAN PBEsol geometry
# crystal system	orthorhombic
# space group	No. 58
# E	-28.20	eV per atom
# V	704.93	Å³/cell
data_Zr2Se
_cell_length_a 12.5372
_cell_length_b 15.6228
_cell_length_c 3.5990
_cell_angle_alpha 90.00
_cell_angle_beta 90.00
_cell_angle_gamma 90.00
_space_group_name_H-M_alt 'P 1'
_space_group_IT_number 1
loop_
_space_group_symop_operation_xyz
'x,y,z'
loop_
_atom_site_label
_atom_site_type_symbol
_atom_site_fract_x
_atom_site_fract_y
_atom_site_fract_z
Zr1 Zr 0.0322 0.1103 0.0000
Zr2 Zr 0.0781 0.7467 0.5000
Zr3 Zr 0.0839 0.5806 0.0000
Zr4 Zr 0.1229 0.4241 0.5000
Zr5 Zr 0.1507 0.9769 0.5000
Zr6 Zr 0.1979 0.2042 0.5000
Zr7 Zr 0.3021 0.7042 0.0000
Zr8 Zr 0.3493 0.4769 0.0000
Zr9 Zr 0.3771 0.9241 0.0000
Zr10 Zr 0.4161 0.0806 0.5000
Zr11 Zr 0.4219 0.2467 0.0000
Zr12 Zr 0.4678 0.6103 0.5000
Zr13 Zr 0.5322 0.3897 0.5000
Zr14 Zr 0.5781 0.7533 0.0000
Zr15 Zr 0.5839 0.9194 0.5000
Zr16 Zr 0.6229 0.0759 0.0000
Zr17 Zr 0.6507 0.5231 0.0000
Zr18 Zr 0.6979 0.2958 0.0000
Zr19 Zr 0.8021 0.7958 0.5000
Zr20 Zr 0.8493 0.0231 0.5000
Zr21 Zr 0.8771 0.5759 0.5000
Zr22 Zr 0.9161 0.4194 0.0000
Zr23 Zr 0.9219 0.2533 0.5000
Zr24 Zr 0.9678 0.8897 0.0000
Se1 Se 0.0781 0.2939 0.0000
Se2 Se 0.1830 0.8484 0.0000
Se3 Se 0.2455 0.5815 0.5000
Se4 Se 0.2545 0.0815 0.0000
Se5 Se 0.3170 0.3484 0.5000
Se6 Se 0.4219 0.7939 0.5000
Se7 Se 0.5781 0.2061 0.5000
Se8 Se 0.6830 0.6516 0.5000
Se9 Se 0.7455 0.9185 0.0000
Se10 Se 0.7545 0.4185 0.5000
Se11 Se 0.8170 0.1516 0.0000
Se12 Se 0.9219 0.7061 0.0000

(3)
# ZrSe3 meta-GGA SCAN PBEsol geometry
# crystal system	tetragonal
# space group	No. 139
# E	-23.09	eV per atom
# V	76.68	Å³/cell
data_ZrSe3
_cell_length_a 5.4530
_cell_length_b 5.4530
_cell_length_c 5.4530
_cell_angle_alpha 136.19
_cell_angle_beta 136.19
_cell_angle_gamma 63.68
_space_group_name_H-M_alt 'P 1'
_space_group_IT_number 1
loop_
_space_group_symop_operation_xyz
'x,y,z'
loop_
_atom_site_label
_atom_site_type_symbol
_atom_site_fract_x
_atom_site_fract_y
_atom_site_fract_z
Zr1 Zr 0.0000 0.0000 0.0000
Se1 Se 0.2500 0.7500 0.5000
Se2 Se 0.5000 0.5000 0.0000
Se3 Se 0.7500 0.2500 0.5000

(4)
# Si meta-GGA SCAN PBEsol geometry
# crystal system	hexagonal
# space group	No. 194
# E	-9.42	eV per atom
# V	95.53	Å³/cell
data_Si
_cell_length_a 5.1683
_cell_length_b 5.1683
_cell_length_c 4.1295
_cell_angle_alpha 90.00
_cell_angle_beta 90.00
_cell_angle_gamma 120.00
_space_group_name_H-M_alt 'P 1'
_space_group_IT_number 1
loop_
_space_group_symop_operation_xyz
'x,y,z'
loop_
_atom_site_label
_atom_site_type_symbol
_atom_site_fract_x
_atom_site_fract_y
_atom_site_fract_z
Si1 Si 0.1689 0.3379 0.2500
Si2 Si 0.1689 0.8311 0.2500
Si3 Si 0.3379 0.1689 0.7500
Si4 Si 0.6621 0.8311 0.2500
Si5 Si 0.8311 0.1689 0.7500
Si6 Si 0.8311 0.6621 0.7500

(5)
# Si meta-GGA SCAN PBEsol geometry
# crystal system	monoclinic
# space group	No. 12
# E	-9.93	eV per atom
# V	166.50	Å³/cell
data_Si
_cell_length_a 7.1629
_cell_length_b 7.1629
_cell_length_c 6.3275
_cell_angle_alpha 96.51
_cell_angle_beta 96.51
_cell_angle_gamma 31.10
_space_group_name_H-M_alt 'P 1'
_space_group_IT_number 1
loop_
_space_group_symop_operation_xyz
'x,y,z'
loop_
_atom_site_label
_atom_site_type_symbol
_atom_site_fract_x
_atom_site_fract_y
_atom_site_fract_z
Si1 Si 0.0553 0.0553 0.3733
Si2 Si 0.2125 0.2125 0.5571
Si3 Si 0.2730 0.2730 0.9143
Si4 Si 0.4410 0.4410 0.8467
Si5 Si 0.5590 0.5590 0.1533
Si6 Si 0.7270 0.7270 0.0857
Si7 Si 0.7875 0.7875 0.4429
Si8 Si 0.9447 0.9447 0.6267

(6)
# Si meta-GGA SCAN PBEsol geometry
# crystal system	hexagonal
# space group	No. 194
# E	-9.93	eV per atom
# V	1573.63	Å³/cell
data_Si
_cell_length_a 10.3613
_cell_length_b 10.3613
_cell_length_c 16.9255
_cell_angle_alpha 90.00
_cell_angle_beta 90.00
_cell_angle_gamma 120.00
_space_group_name_H-M_alt 'P 1'
_space_group_IT_number 1
loop_
_space_group_symop_operation_xyz
'x,y,z'
loop_
_atom_site_label
_atom_site_type_symbol
_atom_site_fract_x
_atom_site_fract_y
_atom_site_fract_z
Si1 Si 0.0000 0.0000 0.1815
Si2 Si 0.0000 0.0000 0.3185
Si3 Si 0.0000 0.0000 0.6815
Si4 Si 0.0000 0.0000 0.8185
Si5 Si 0.0503 0.3308 0.0645
Si6 Si 0.0503 0.3308 0.4355
Si7 Si 0.0503 0.7195 0.0645
Si8 Si 0.0503 0.7195 0.4355
Si9 Si 0.0697 0.5348 0.7500
Si10 Si 0.0843 0.5422 0.1353
Si11 Si 0.0843 0.5422 0.3647
Si12 Si 0.1237 0.2474 0.6386
Si13 Si 0.1237 0.2474 0.8614
Si14 Si 0.1237 0.8763 0.6386
Si15 Si 0.1237 0.8763 0.8614
Si16 Si 0.2025 0.4051 0.7500
Si17 Si 0.2025 0.7975 0.7500
Si18 Si 0.2474 0.1237 0.1386
Si19 Si 0.2474 0.1237 0.3614
Si20 Si 0.2805 0.3308 0.0645
Si21 Si 0.2805 0.3308 0.4355
Si22 Si 0.2805 0.9497 0.0645
Si23 Si 0.2805 0.9497 0.4355
Si24 Si 0.3308 0.0503 0.5645
Si25 Si 0.3308 0.0503 0.9355
Si26 Si 0.3308 0.2805 0.5645
Si27 Si 0.3308 0.2805 0.9355
Si28 Si 0.3333 0.6667 0.1803
Si29 Si 0.3333 0.6667 0.3197
Si30 Si 0.4051 0.2025 0.2500
Si31 Si 0.4578 0.5422 0.1353
Si32 Si 0.4578 0.5422 0.3647
Si33 Si 0.4578 0.9157 0.1353
Si34 Si 0.4578 0.9157 0.3647
Si35 Si 0.4652 0.5348 0.7500
Si36 Si 0.4652 0.9303 0.7500
Si37 Si 0.5348 0.0697 0.2500
Si38 Si 0.5348 0.4652 0.2500
Si39 Si 0.5422 0.0843 0.6353
Si40 Si 0.5422 0.0843 0.8647
Si41 Si 0.5422 0.4578 0.6353
Si42 Si 0.5422 0.4578 0.8647
Si43 Si 0.5949 0.7975 0.7500
Si44 Si 0.6667 0.3333 0.6803
Si45 Si 0.6667 0.3333 0.8197
Si46 Si 0.6692 0.7195 0.0645
Si47 Si 0.6692 0.7195 0.4355
Si48 Si 0.6692 0.9497 0.0645
Si49 Si 0.6692 0.9497 0.4355
Si50 Si 0.7195 0.0503 0.5645
Si51 Si 0.7195 0.0503 0.9355
Si52 Si 0.7195 0.6692 0.5645
Si53 Si 0.7195 0.6692 0.9355
Si54 Si 0.7526 0.8763 0.6386
Si55 Si 0.7526 0.8763 0.8614
Si56 Si 0.7975 0.2025 0.2500
Si57 Si 0.7975 0.5949 0.2500
Si58 Si 0.8763 0.1237 0.1386
Si59 Si 0.8763 0.1237 0.3614
Si60 Si 0.8763 0.7526 0.1386
Si61 Si 0.8763 0.7526 0.3614
Si62 Si 0.9157 0.4578 0.6353
Si63 Si 0.9157 0.4578 0.8647
Si64 Si 0.9303 0.4652 0.2500
Si65 Si 0.9497 0.2805 0.5645
Si66 Si 0.9497 0.2805 0.9355
Si67 Si 0.9497 0.6692 0.5645
Si68 Si 0.9497 0.6692 0.9355

(7)
# Si meta-GGA SCAN PBEsol geometry
# crystal system	hexagonal
# space group	No. 191
# E	-9.55	eV per atom
# V	14.78	Å³/cell
data_Si
_cell_length_a 2.6206
_cell_length_b 2.6206
_cell_length_c 2.4837
_cell_angle_alpha 90.00
_cell_angle_beta 90.00
_cell_angle_gamma 120.00
_space_group_name_H-M_alt 'P 1'
_space_group_IT_number 1
loop_
_space_group_symop_operation_xyz
'x,y,z'
loop_
_atom_site_label
_atom_site_type_symbol
_atom_site_fract_x
_atom_site_fract_y
_atom_site_fract_z
Si1 Si 0.0000 0.0000 0.0000